Entry 1:
Computed, not measured: crystalline Sm5Ho8Cd at its relaxed geometry at the GGA-PBE level of DFT.

Computed properties:
For the energy relative to the elements, the calculation gives 0.198 eV/atom. The total magnetic moment comes out at 0.0000 μB/atom.

```
data_Sm5Ho8Cd
_chemical_formula_sum 'Sm10 Ho16 Cd2'
_cell_length_a 9.5661
_cell_length_b 9.5661
_cell_length_c 9.9431
_cell_angle_alpha 90.00
_cell_angle_beta 90.00
_cell_angle_gamma 90.00
_space_group_name_H-M_alt 'I -4'
_space_group_IT_number 82
loop_
_space_group_symop_operation_xyz
'x,y,z'
'y,-x,-z'
'-x,-y,z'
'-y,x,-z'
'x+1/2,y+1/2,z+1/2'
'y+1/2,-x+1/2,-z+1/2'
'-x+1/2,-y+1/2,z+1/2'
'-y+1/2,x+1/2,-z+1/2'
loop_
_atom_site_label
_atom_site_type_symbol
_atom_site_fract_x
_atom_site_fract_y
_atom_site_fract_z
Sm1 Sm 0.0000 0.0000 0.0000
Sm2 Sm 0.1006 0.2109 0.5799
Ho1 Ho 0.0688 0.3259 0.9070
Ho2 Ho 0.0857 0.1885 0.2448
Cd1 Cd 0.0000 0.5000 0.2500
```

***

Entry 2:
Computed, not measured: crystalline CsNaZnSe2 at its relaxed geometry at the GGA-PBE level of DFT.

Computed properties:
The total magnetic moment comes out at 0.0000 μB/atom. Its uncorrected formation energy is -90 kJ per mole of atoms.

```
data_CsNaZnSe2
_chemical_formula_sum 'Cs4 Na4 Zn4 Se8'
_cell_length_a 6.8704
_cell_length_b 15.1871
_cell_length_c 6.4397
_cell_angle_alpha 90.00
_cell_angle_beta 90.00
_cell_angle_gamma 90.00
_space_group_name_H-M_alt 'C m m e'
_space_group_IT_number 67
_space_group_name_Hall '-C 2a 2'
loop_
_atom_site_label
_atom_site_type_symbol
_atom_site_fract_x
_atom_site_fract_y
_atom_site_fract_z
Cs1 Cs 0.0000 0.2500 0.2384
Na1 Na 0.2500 0.0000 0.5000
Zn1 Zn 0.0000 0.0000 0.0000
Se1 Se 0.0000 0.1102 0.7588
```

***

Entry 3:
Computed, not measured: crystalline BaTlSeCl at its relaxed geometry at the GGA-PBE level of DFT.

Computed properties:
As for the distance to the lowest polymorph of the same formula: 0.040 eV/atom. The total magnetic moment comes out at 0.0000 μB/atom. Its uncorrected formation energy is -143 kJ per mole of atoms.

```
data_BaTlSeCl
_chemical_formula_sum 'Ba4 Tl4 Se4 Cl4'
_cell_length_a 7.8524
_cell_length_b 7.8524
_cell_length_c 7.8524
_cell_angle_alpha 90.00
_cell_angle_beta 90.00
_cell_angle_gamma 90.00
_space_group_name_H-M_alt 'F -4 3 m'
_space_group_IT_number 216
_space_group_name_Hall 'F -4 2 3'
loop_
_atom_site_label
_atom_site_type_symbol
_atom_site_fract_x
_atom_site_fract_y
_atom_site_fract_z
Ba1 Ba 0.0000 0.0000 0.0000
Tl1 Tl 0.0000 0.0000 0.5000
Se1 Se 0.2500 0.2500 0.2500
Cl1 Cl 0.2500 0.2500 0.7500
```

***

Entry 4:
Computed, not measured: crystalline LiNdEr2Pt4 at its relaxed geometry at the GGA-PBE level of DFT.

Computed properties:
For the energy relative to the elements, the calculation gives -1.052 eV/atom. The total magnetic moment comes out at 0.0000 μB/atom.

```
data_LiNdEr2Pt4
_chemical_formula_sum 'Li3 Nd3 Er6 Pt12'
_cell_length_a 4.7664
_cell_length_b 4.7664
_cell_length_c 24.9438
_cell_angle_alpha 90.00
_cell_angle_beta 90.00
_cell_angle_gamma 120.00
_space_group_name_H-M_alt 'R -3 m'
_space_group_IT_number 166
_space_group_name_Hall '-R 3 2"'
loop_
_atom_site_label
_atom_site_type_symbol
_atom_site_fract_x
_atom_site_fract_y
_atom_site_fract_z
Li1 Li 0.0000 0.0000 0.0000
Nd1 Nd 0.0000 0.0000 0.5000
Er1 Er 0.0000 0.0000 0.2632
Pt1 Pt 0.0000 0.0000 0.1087
Pt2 Pt 0.0000 0.0000 0.3766
```

***

Entry 5:
Computed, not measured: crystalline Ba6P2H3Pt at its relaxed geometry at the GGA-PBE level of DFT.

Computed properties:
The total magnetic moment comes out at 0.0907 μB/atom.

```
data_Ba6P2H3Pt
_chemical_formula_sum 'Ba12 P4 H6 Pt2'
_cell_length_a 7.8708
_cell_length_b 13.8069
_cell_length_c 7.4510
_cell_angle_alpha 90.00
_cell_angle_beta 110.12
_cell_angle_gamma 90.00
_space_group_name_H-M_alt 'C 1 2/m 1'
_space_group_IT_number 12
loop_
_space_group_symop_operation_xyz
'x,y,z'
'-x,-y,-z'
'-x,y,-z'
'x,-y,z'
'x+1/2,y+1/2,z'
'-x+1/2,-y+1/2,-z'
'-x+1/2,y+1/2,-z'
'x+1/2,-y+1/2,z'
loop_
_atom_site_label
_atom_site_type_symbol
_atom_site_fract_x
_atom_site_fract_y
_atom_site_fract_z
Ba1 Ba 0.2427 0.0000 0.2529
Ba2 Ba 0.2459 0.3330 0.2497
P1 P 0.0000 0.1657 0.0000
H1 H 0.0000 0.0000 0.5000
H2 H 0.0000 0.3073 0.5000
Pt1 Pt 0.0000 0.5000 0.0000
```

***

Entry 6:
Computed, not measured: crystalline PrZnCdSn at its relaxed geometry at the GGA-PBE level of DFT.

Computed properties:
For the energy relative to the elements, the calculation gives -0.226 eV/atom. The total magnetic moment comes out at 0.0000 μB/atom.

```
data_PrZnCdSn
_chemical_formula_sum 'Pr4 Zn4 Cd4 Sn4'
_cell_length_a 7.3588
_cell_length_b 7.3588
_cell_length_c 7.3588
_cell_angle_alpha 90.00
_cell_angle_beta 90.00
_cell_angle_gamma 90.00
_space_group_name_H-M_alt 'F -4 3 m'
_space_group_IT_number 216
_space_group_name_Hall 'F -4 2 3'
loop_
_atom_site_label
_atom_site_type_symbol
_atom_site_fract_x
_atom_site_fract_y
_atom_site_fract_z
Pr1 Pr 0.0000 0.0000 0.0000
Zn1 Zn 0.2500 0.2500 0.7500
Cd1 Cd 0.0000 0.0000 0.5000
Sn1 Sn 0.2500 0.2500 0.2500
```

***

Entry 7:
Computed, not measured: crystalline NdYSn at its relaxed geometry at the GGA-PBE level of DFT.

Computed properties:
As for the distance to the lowest polymorph of the same formula: 0.211 eV/atom. For the energy relative to the elements, the calculation gives -0.392 eV/atom. The total magnetic moment comes out at 0.0000 μB/atom.

```
data_NdYSn
_chemical_formula_sum 'Nd1 Y1 Sn1'
_cell_length_a 5.1598
_cell_length_b 5.1598
_cell_length_c 3.9832
_cell_angle_alpha 90.00
_cell_angle_beta 90.00
_cell_angle_gamma 120.00
_space_group_name_H-M_alt 'P 3 m 1'
_space_group_IT_number 156
loop_
_space_group_symop_operation_xyz
'x,y,z'
'-y,x-y,z'
'-x+y,-x,z'
'-y,-x,z'
'-x+y,y,z'
'x,x-y,z'
loop_
_atom_site_label
_atom_site_type_symbol
_atom_site_fract_x
_atom_site_fract_y
_atom_site_fract_z
Nd1 Nd 0.0000 0.0000 0.0000
Y1 Y 0.6667 0.3333 0.5503
Sn1 Sn 0.3333 0.6667 0.3440
```

***

Entry 8:
Computed, not measured: crystalline RbAcPb2 at its relaxed geometry at the GGA-PBE level of DFT.

Computed properties:
As for the distance to the lowest polymorph of the same formula: 0.188 eV/atom. For the energy relative to the elements, the calculation gives -0.110 eV/atom. The total magnetic moment comes out at 0.0000 μB/atom.

```
data_RbAcPb2
_chemical_formula_sum 'Rb3 Ac3 Pb6'
_cell_length_a 3.9231
_cell_length_b 3.9231
_cell_length_c 35.3955
_cell_angle_alpha 90.00
_cell_angle_beta 90.00
_cell_angle_gamma 120.00
_space_group_name_H-M_alt 'R -3 m'
_space_group_IT_number 166
_space_group_name_Hall '-R 3 2"'
loop_
_atom_site_label
_atom_site_type_symbol
_atom_site_fract_x
_atom_site_fract_y
_atom_site_fract_z
Rb1 Rb 0.0000 0.0000 0.0000
Ac1 Ac 0.0000 0.0000 0.5000
Pb1 Pb 0.0000 0.0000 0.2460
```

***

| no. | E_tot (Ry per atom) | V (Å³/f.u.) |
| --- | --- | --- |
| 1 | -0.3064 | 454.95 |
| 2 | -0.2215 | 167.98 |
| 3 | -0.2861 | 121.04 |
| 4 | -0.4445 | 163.59 |
| 5 | -0.2854 | 380.15 |
| 6 | -0.2182 | 99.62 |
| 7 | -0.4020 | 91.84 |
| 8 | -0.2377 | 157.26 |